1.
Compound: PrSc2In
Source: Alexandria via LeMat-Bulk
Functional: PBE-GGA
Structure: relaxed

The structure in CIF format:
```
data_PrSc2In
_cell_length_a 5.2675
_cell_length_b 9.2051
_cell_length_c 5.2888
_cell_angle_alpha 90.00
_cell_angle_beta 118.60
_cell_angle_gamma 90.00
_space_group_name_H-M_alt 'P 1'
_space_group_IT_number 1
loop_
_space_group_symop_operation_xyz
'x,y,z'
loop_
_atom_site_label
_atom_site_type_symbol
_atom_site_fract_x
_atom_site_fract_y
_atom_site_fract_z
_atom_site_occupancy
Pr1 Pr 0.0053 0.2500 0.4921 1
Pr2 Pr 0.9947 0.7500 0.5079 1
Sc1 Sc 0.3295 0.5715 0.1720 1
Sc2 Sc 0.3295 0.9285 0.1720 1
Sc3 Sc 0.6705 0.0715 0.8280 1
Sc4 Sc 0.6705 0.4285 0.8280 1
In1 In 0.3416 0.2500 0.1536 1
In2 In 0.6584 0.7500 0.8464 1
```

Values from the calculation:
DFT total energy = -5.115 eV/atom
D(E_F) = 1.532 states/eV/atom
total magnetic moment = 0.69 μB/f.u.
distance to the lowest polymorph of the same formula = 165 meV/atom
formation energy = -0.3 eV per formula unit

2.
Compound: EuZnBi
Source: Alexandria via LeMat-Bulk
Functional: PBE-GGA
Structure: relaxed

The structure in CIF format:
```
data_EuZnBi
_cell_length_a 4.6534
_cell_length_b 4.6534
_cell_length_c 4.6141
_cell_angle_alpha 90.00
_cell_angle_beta 90.00
_cell_angle_gamma 120.00
_space_group_name_H-M_alt 'P 1'
_space_group_IT_number 1
loop_
_space_group_symop_operation_xyz
'x,y,z'
loop_
_atom_site_label
_atom_site_type_symbol
_atom_site_fract_x
_atom_site_fract_y
_atom_site_fract_z
_atom_site_occupancy
Eu1 Eu 0.0000 0.0000 0.0000 1
Zn1 Zn 0.3333 0.6667 0.3610 1
Bi1 Bi 0.6667 0.3333 0.5396 1
```

Values from the calculation:
DFT total energy = -5.615 eV/atom
D(E_F) = 3.233 states/eV/atom
total magnetic moment = 7.14 μB/f.u.
formation energy = -1.4 eV per formula unit

3.
Compound: CoNi6Ir2
Source: Alexandria via LeMat-Bulk
Functional: PBE-GGA
Structure: relaxed

The structure in CIF format:
```
data_CoNi6Ir2
_cell_length_a 6.3219
_cell_length_b 6.3219
_cell_length_c 6.6298
_cell_angle_alpha 115.17
_cell_angle_beta 115.17
_cell_angle_gamma 84.76
_space_group_name_H-M_alt 'P 1'
_space_group_IT_number 1
loop_
_space_group_symop_operation_xyz
'x,y,z'
loop_
_atom_site_label
_atom_site_type_symbol
_atom_site_fract_x
_atom_site_fract_y
_atom_site_fract_z
_atom_site_occupancy
Co1 Co 0.1415 0.8585 0.7500 1
Co2 Co 0.8585 0.1415 0.2500 1
Ni1 Ni 0.0056 0.2099 0.6944 1
Ni2 Ni 0.0737 0.3680 0.1341 1
Ni3 Ni 0.2099 0.0056 0.1944 1
Ni4 Ni 0.3314 0.5893 0.0418 1
Ni5 Ni 0.3680 0.0737 0.6341 1
Ni6 Ni 0.4107 0.6686 0.4582 1
Ni7 Ni 0.5893 0.3314 0.5418 1
Ni8 Ni 0.6320 0.9263 0.3659 1
Ni9 Ni 0.6686 0.4107 0.9582 1
Ni10 Ni 0.7901 0.9944 0.8056 1
Ni11 Ni 0.9263 0.6320 0.8659 1
Ni12 Ni 0.9944 0.7901 0.3056 1
Ir1 Ir 0.2138 0.4372 0.5817 1
Ir2 Ir 0.4372 0.2138 0.0817 1
Ir3 Ir 0.5628 0.7862 0.9183 1
Ir4 Ir 0.7862 0.5628 0.4183 1
```

Values from the calculation:
DFT total energy = -6.504 eV/atom
D(E_F) = 1.569 states/eV/atom
total magnetic moment = 6.34 μB/f.u.
formation energy = 1.0 eV per formula unit